Below is a relaxed LiYRuBr2 crystal, with properties calculated at the PBE level.

abc: 5.0259 4.4120 5.0259
angles: 90.00 90.00 90.00
Fractional coordinates of all 5 atoms:
Y 0.5000 0.5000 0.5000
Ru 0.0000 0.0000 0.0000
Br 0.0000 0.0000 0.5000
Br 0.5000 0.0000 0.0000
Li 0.0000 0.5000 0.0000

Properties
Magnetic moment ... 0.000 μB per atom
Energy relative to the elements, uncorrected ... 135.2 meV/atom
Space group ... P4/mmm (123)